# TaAu5 | the Alexandria database | PBE-GGA | relaxed
# ρ: 18.0 g/cm3
# E_form: 0.029 eV per atom
data_TaAu5
_chemical_formula_sum 'Ta2 Au10'
_cell_length_a 4.870
_cell_length_b 2.861
_cell_length_c 15.464
_cell_angle_alpha 90.00
_cell_angle_beta 90.00
_cell_angle_gamma 90.00
_space_group_name_H-M_alt 'A m m 2'
_space_group_IT_number 38
loop_
_space_group_symop_operation_xyz
'x,y,z'
'-x,-y,z'
'-x,y,z'
'x,-y,z'
'x,y+1/2,z+1/2'
'-x,-y+1/2,z+1/2'
'-x,y+1/2,z+1/2'
'x,-y+1/2,z+1/2'
loop_
_atom_site_label
_atom_site_type_symbol
_atom_site_fract_x
_atom_site_fract_y
_atom_site_fract_z
_atom_site_occupancy
Ta1 Ta 0.000 0.000 0.000 1
Au1 Au 0.000 0.000 0.338 1
Au2 Au 0.000 0.000 0.663 1
Au3 Au 0.500 0.000 0.229 1
Au4 Au 0.500 0.000 0.559 1
Au5 Au 0.500 0.000 0.896 1